Arrangement P

Density functional theory data (GGA-PBE) for Pr6HoMg2 after structural relaxation.

```
Pr6HoMg2
1.0
-5.921 -1.941 -0.137
3.813 -1.939 4.458
-2.379 6.902 5.037
Pr Ho Mg
6 1 2
Cartesian
-2.405 -2.865 2.791
-2.955 3.591 4.050
-5.056 0.386 2.335
0.297 -1.015 1.531
-2.311 1.692 6.957
1.348 0.376 5.374
-2.961 -0.971 -0.068
0.311 3.661 5.608
-1.837 0.332 3.819
```

Results
Calculated volume = 32.77 Å³/atom



Arrangement Q

Density functional theory data (GGA-PBE) for Pr6HoMg2 after structural relaxation.

```
Pr6HoMg2
1.0
5.994 -0.113 -0.110
1.477 10.060 1.478
1.477 1.803 10.007
Pr Ho Mg
12 2 4
Cartesian
4.454 7.526 5.446
1.498 6.119 4.084
4.495 4.224 5.929
7.451 5.631 7.291
4.576 1.722 3.605
7.370 8.034 9.716
4.372 10.028 7.770
1.579 3.715 1.659
2.945 7.813 1.133
3.007 10.420 3.657
6.004 3.936 10.242
5.942 1.329 7.718
2.976 2.981 8.733
5.973 8.769 2.642
4.398 6.639 8.718
1.553 2.878 5.076
4.551 5.110 2.657
7.395 8.872 6.299
```

Results
Calculated volume = 32.79 Å³/atom



The structure with the most favorable energy is arrangement Q; the runner-up is 1.6 kJ/mol of atoms above it.



Arrangement P

Density functional theory data (GGA-PBE) for Pr6HoMg after structural relaxation.

```
Pr6HoMg
1.0
-0.686 0.621 5.032
-5.070 -0.048 -0.685
-0.072 -10.243 1.254
Pr Ho Mg
6 1 1
Cartesian
-2.878 0.286 2.173
-2.914 -4.835 2.800
-0.361 -2.225 2.827
-0.397 -7.397 3.460
-2.553 -2.560 -0.032
-2.589 -7.731 0.601
-0.036 -5.121 0.627
0.000 0.000 0.000
```

Results
Calculated volume = 33.77 Å³/atom



Arrangement Q

Density functional theory data (GGA-PBE) for Pr6HoMg after structural relaxation.

```
Pr6HoMg
1.0
-8.012 -2.142 -3.078
-3.107 -2.874 -6.932
-2.251 -5.691 1.409
Pr Ho Mg
6 1 1
Cartesian
-4.438 -5.523 -1.408
-11.164 -7.944 -7.910
-4.477 -2.588 -3.611
-2.207 -2.763 -0.690
-8.932 -5.184 -7.192
-8.893 -8.119 -4.989
-6.685 -5.354 -4.300
0.000 0.000 0.000
```

Results
Calculated volume = 33.90 Å³/atom



The structure with the most favorable energy is arrangement P; the runner-up is 1.3 kJ/mol of atoms above it.



Arrangement P

Density functional theory data (GGA-PBE) for Pr4HoMg2 after structural relaxation.

```
Pr4HoMg2
1.0
-1.070 -0.428 -5.556
-5.199 -1.406 -1.788
-4.367 8.108 -2.682
Pr Ho Mg
4 1 2
Cartesian
-6.207 6.544 -5.104
-2.716 1.788 -2.512
-7.919 4.486 -7.514
-4.428 -0.270 -4.922
0.000 0.000 0.000
-3.548 4.975 -2.598
-7.087 1.300 -7.428
```

Results
Calculated volume = 35.91 Å³/atom



Arrangement Q

Density functional theory data (GGA-PBE) for Pr4HoMg2 after structural relaxation.

```
Pr4HoMg2
1.0
6.357 -0.283 -2.410
-3.250 5.642 -1.977
-0.163 0.283 6.797
Pr Ho Mg
4 1 2
Cartesian
3.179 -0.141 -1.205
1.472 2.821 1.205
-0.081 0.141 3.398
-1.625 2.821 -0.989
0.000 0.000 0.000
1.553 2.680 -2.193
3.097 0.000 2.193
```

Results
Calculated volume = 34.43 Å³/atom



The structure with the most favorable energy is arrangement Q; the runner-up is 9.6 kJ/mol of atoms above it.



Arrangement P

Density functional theory data (GGA-PBE) for Pr8Ho2Mg after structural relaxation.

```
Pr8Ho2Mg
1.0
5.538 -0.115 0.076
0.144 9.344 4.869
-0.074 1.573 8.387
Pr Ho Mg
8 2 1
Cartesian
2.853 6.871 5.733
2.859 10.151 10.840
0.095 6.177 3.219
0.070 7.749 7.866
-0.001 3.113 5.361
0.048 3.109 1.620
2.748 0.594 2.462
2.754 3.875 7.569
2.806 3.841 3.890
2.802 6.905 9.413
5.681 9.196 4.928
```

Results
Calculated volume = 35.62 Å³/atom



Arrangement Q

Density functional theory data (GGA-PBE) for Pr8Ho2Mg after structural relaxation.

```
Pr8Ho2Mg
1.0
5.162 0.000 0.000
0.000 8.135 0.471
-2.581 -2.955 8.772
Pr Ho Mg
8 2 1
Cartesian
0.000 2.066 7.422
2.581 6.334 3.605
2.581 4.498 6.742
2.581 -0.444 8.097
0.000 0.682 2.501
0.000 -1.153 5.639
2.581 3.114 1.822
0.000 5.624 1.146
2.581 1.356 4.986
0.000 3.824 4.257
2.581 0.000 0.000
```

Results
Calculated volume = 34.14 Å³/atom



The structure with the most favorable energy is arrangement Q; the runner-up is 12.7 kJ/mol of atoms above it.



Arrangement P

Density functional theory data (GGA-PBE) for PrHo2Mg after structural relaxation.

```
PrHo2Mg
1.0
-3.363 -0.959 0.730
-0.795 -3.435 0.575
0.598 -0.093 11.401
Pr Ho Mg
1 2 1
Cartesian
-1.780 -2.243 6.349
0.134 -0.414 8.840
-0.924 -1.145 2.994
-2.771 -2.928 0.874
```

Results
Calculated volume = 31.02 Å³/atom



Arrangement Q

Density functional theory data (GGA-PBE) for PrHo2Mg after structural relaxation.

```
PrHo2Mg
1.0
5.553 0.000 0.000
2.776 4.809 0.000
2.776 1.603 4.534
Pr Mg Ho
1 1 2
Cartesian
0.000 0.000 0.000
5.553 3.206 2.267
2.776 1.603 1.133
8.329 4.809 3.400
```

Results
Calculated volume = 30.26 Å³/atom



Arrangement R

Density functional theory data (GGA-PBE) for PrHo2Mg after structural relaxation.

```
PrHo2Mg
1.0
-0.064 -2.086 3.049
3.393 1.172 0.873
-3.520 6.787 4.570
Pr Mg Ho
1 1 2
Cartesian
-0.095 2.937 4.246
1.665 -0.457 1.961
-2.747 5.297 3.566
-0.773 1.490 1.003
```

Results
Calculated volume = 30.40 Å³/atom



The structure with the most favorable energy is arrangement R; the runner-up is 6.7 kJ/mol of atoms above it.



Arrangement P

Density functional theory data (GGA-PBE) for PrHo2Mg after structural relaxation.

```
PrHo2Mg
1.0
3.431 0.000 0.000
1.715 2.971 0.000
1.715 0.990 12.196
Pr Mg Ho
1 1 2
Cartesian
0.000 0.000 0.000
3.431 1.981 6.098
1.715 0.990 8.767
5.146 2.971 3.429
```

Results
Calculated volume = 31.08 Å³/atom



Arrangement Q

Density functional theory data (GGA-PBE) for PrHo2Mg after structural relaxation.

```
PrHo2Mg
1.0
5.008 0.000 0.000
0.000 4.925 0.000
0.000 0.000 4.925
Pr Mg Ho
1 1 2
Cartesian
2.504 0.000 0.000
2.504 2.463 2.463
0.000 0.000 2.463
0.000 2.463 0.000
```

Results
Calculated volume = 30.37 Å³/atom



Arrangement R

Density functional theory data (GGA-PBE) for PrHo2Mg after structural relaxation.

```
PrHo2Mg
1.0
4.961 0.017 -1.376
-0.396 4.945 -1.376
0.075 0.081 9.894
Pr Ho Mg
2 4 2
Cartesian
1.706 1.855 1.357
2.933 3.189 5.785
3.968 4.313 -0.097
0.672 0.730 7.239
2.518 0.049 4.259
-0.160 2.513 4.259
0.945 3.711 -1.376
3.620 1.251 -1.376
```

Results
Calculated volume = 30.48 Å³/atom



The structure with the most favorable energy is arrangement R; the runner-up is 4.7 kJ/mol of atoms above it.



Arrangement P

Density functional theory data (GGA-PBE) for Pr6Ho2Mg after structural relaxation.

```
Pr6Ho2Mg
1.0
-0.799 -5.120 -0.230
7.916 -1.560 7.225
-7.201 0.762 8.053
Pr Ho Mg
12 4 2
Cartesian
-1.991 -4.996 1.155
1.669 -0.660 8.890
-0.839 -0.388 11.538
-3.883 -2.306 6.341
-6.236 -2.064 9.130
1.201 -3.093 6.186
1.907 -0.922 13.894
-1.753 -5.257 6.158
0.755 -5.530 3.511
3.798 -3.612 8.708
6.151 -3.854 5.919
-1.285 -2.825 8.863
-4.162 -5.000 8.808
1.316 -3.341 11.283
-1.400 -2.577 3.766
4.077 -0.918 6.241
3.558 -3.340 3.498
-3.601 0.381 4.027
```

Results
Calculated volume = 33.80 Å³/atom



Arrangement Q

Density functional theory data (GGA-PBE) for Pr6Ho2Mg after structural relaxation.

```
Pr6Ho2Mg
1.0
-3.358 0.198 4.615
4.571 -6.734 3.615
1.656 16.462 0.499
Pr Ho Mg
12 4 2
Cartesian
3.021 11.627 1.700
1.363 6.651 4.240
-0.215 0.039 3.376
-1.709 5.121 5.604
-1.630 14.972 5.239
0.069 9.798 3.164
-0.152 -1.701 7.029
1.506 3.275 4.489
3.084 9.886 5.353
4.578 4.804 3.125
4.499 -5.046 3.490
2.800 0.128 5.565
3.212 -3.241 6.010
2.793 1.470 1.970
0.076 8.456 6.759
-0.343 13.166 2.719
0.607 -3.268 4.115
0.828 8.231 0.249
```

Results
Calculated volume = 33.92 Å³/atom



The structure with the most favorable energy is arrangement P; the runner-up is 1.4 kJ/mol of atoms above it.



Arrangement P

Density functional theory data (GGA-PBE) for Pr12Ho7Mg after structural relaxation.

```
Pr12Ho7Mg
1.0
9.534 0.000 -3.371
-4.767 8.257 -3.371
0.000 0.000 10.112
Pr Ho Mg
12 7 1
Cartesian
1.214 6.201 3.376
5.946 6.201 -3.390
3.553 2.055 -0.005
-1.180 2.055 6.761
7.164 0.006 -0.020
4.770 4.152 3.366
-2.397 8.251 3.390
-0.004 4.104 0.005
3.577 6.207 0.020
1.190 2.049 3.351
5.978 2.049 6.737
-1.211 6.207 -3.366
2.383 4.128 -3.371
-2.383 4.128 3.371
4.767 0.000 3.371
2.383 4.128 1.685
0.000 0.000 5.056
4.767 0.000 -1.685
-2.383 4.128 -1.685
0.000 0.000 0.000
```

Results
Calculated volume = 39.80 Å³/atom



Arrangement Q

Density functional theory data (GGA-PBE) for Pr12Ho7Mg after structural relaxation.

```
Pr12Ho7Mg
1.0
9.415 -0.119 -0.179
-2.733 9.011 -0.179
-2.733 -3.636 8.246
Pr Ho Mg
12 7 1
Cartesian
4.770 0.580 4.911
4.719 2.550 1.620
2.801 -0.579 2.325
5.285 4.084 4.658
1.138 -0.524 5.462
2.454 1.906 7.527
1.496 3.349 0.361
2.812 5.780 2.426
-1.335 1.171 3.230
1.149 5.834 5.563
-0.769 2.705 6.269
-0.820 4.676 2.978
-3.610 2.541 8.053
0.505 -3.239 7.335
-3.252 6.929 2.442
1.975 2.628 3.944
7.202 -1.673 5.447
3.445 8.495 0.553
7.560 2.714 -0.164
0.000 0.000 0.000
```

Results
Calculated volume = 34.23 Å³/atom



The structure with the most favorable energy is arrangement Q; the runner-up is 52.6 kJ/mol of atoms above it.



Arrangement P

Density functional theory data (GGA-PBE) for Pr12Ho6Mg after structural relaxation.

```
Pr12Ho6Mg
1.0
-1.367 -7.354 4.451
6.401 1.949 5.568
-5.589 4.028 5.321
Pr Ho Mg
12 6 1
Cartesian
-0.041 -2.991 8.785
1.433 0.525 9.154
-2.364 0.049 8.974
-0.513 1.614 6.555
-1.987 -1.903 6.186
1.810 -1.427 6.366
-0.910 1.697 3.030
-2.550 -0.830 12.406
0.844 0.549 12.653
0.355 -3.074 12.310
1.996 -0.547 2.934
-1.399 -1.926 2.687
3.150 -2.550 9.825
0.117 -4.347 5.157
2.992 1.696 5.804
-3.705 1.172 5.515
-0.672 2.970 10.183
-3.547 -3.073 9.536
0.000 0.000 0.000
```

Results
Calculated volume = 34.69 Å³/atom



Arrangement Q

Density functional theory data (GGA-PBE) for Pr12Ho6Mg after structural relaxation.

```
Pr12Ho6Mg
1.0
8.679 0.369 -1.492
-1.829 8.492 -1.492
0.285 0.369 8.802
Pr Ho Mg
12 6 1
Cartesian
4.910 1.867 4.003
0.571 5.221 4.004
4.036 5.222 -0.247
2.225 7.362 1.815
6.564 4.008 1.814
3.099 4.008 6.065
2.469 0.370 6.123
1.190 6.747 7.308
8.412 2.851 4.632
4.666 8.859 -0.305
5.945 2.482 -1.490
-1.278 6.378 1.186
1.062 1.377 3.162
6.635 5.678 5.414
3.823 7.855 5.410
6.073 7.852 2.656
0.499 3.551 0.404
3.311 1.374 0.408
0.000 0.000 0.000
```

Results
Calculated volume = 34.94 Å³/atom



The structure with the most favorable energy is arrangement P; the runner-up is 1.4 kJ/mol of atoms above it.